(1)
Density functional theory data (GGA-PBE) for a geometry-optimized RbCoRe2P structure.

Results
The calculation puts the formation energy at 20.78 eV per formula unit.

Structure (POSCAR):
```
RbCoRe2P
1.0
4.7101 0.0000 0.0000
0.0000 4.8034 0.0000
0.0000 0.0000 4.7101
Re Co Rb P
2 1 1 1
direct
0.0000 0.0000 0.5000
0.5000 0.0000 0.0000
0.5000 0.5000 0.5000
0.0000 0.0000 0.0000
0.0000 0.5000 0.0000
```

(2)
Density functional theory data (GGA-PBE) for a geometry-optimized Pr3Sm3Si4 structure.

Results
For the formation energy from raw total energies, the calculation gives -6.46 eV per formula unit.

Structure (POSCAR):
```
Pr3Sm3Si4
1.0
4.3818 0.0000 0.0000
0.0000 7.7316 0.0009
0.0000 0.0689 7.7313
Pr Sm Si
3 3 4
direct
0.5000 0.8239 0.1761
0.5000 0.3212 0.3237
0.5000 0.6763 0.6788
0.0000 0.5015 0.0012
0.0000 0.9988 0.4985
0.5000 0.1777 0.8223
0.0000 0.6096 0.3904
0.0000 0.3846 0.6154
0.0000 0.8921 0.8855
0.0000 0.1145 0.1079
```

(3)
Density functional theory data (GGA-PBE) for a geometry-optimized K2NaSb structure.

Results
For the formation energy from raw total energies, the calculation gives -1.59 eV per formula unit.

Structure (POSCAR):
```
K2NaSb
1.0
-0.5408 -1.2425 -5.6113
-4.5482 -0.5378 3.5139
0.6795 5.4807 1.6774
K Na Sb
2 1 1
direct
0.1250 0.8125 0.9375
0.6250 0.0625 0.6875
0.1251 0.3125 0.4376
0.6250 0.5625 0.1874
```

(4)
Density functional theory data (GGA-PBE) for a geometry-optimized CeLuCu2 structure.

Results
The calculation puts the formation energy at -0.63 eV per formula unit. The energy above the lowest structure with this stoichiometry comes out at 0.010 eV/atom.

Structure (POSCAR):
```
CeLuCu2
1.0
-0.3452 -0.8220 -4.8162
0.9063 -4.4670 -1.7932
-3.6704 -2.7224 -1.7629
Lu Ce Cu
1 1 2
direct
0.5000 0.5000 0.5000
0.0000 0.0000 0.0000
0.2500 0.2500 0.2500
0.7500 0.7500 0.7500
```

Number 1: size of the total moment 0.5 μB per formula unit. Number 2: size of the total moment 0.0 μB per formula unit. Number 3: size of the total moment 0.0 μB per formula unit. Number 4: size of the total moment 0.2 μB per formula unit.